Record 1
First-principles (GGA-PBEsol) data for an optimized crystal structure of Li2Ag2Pb, as listed in Alexandria via LeMat-Bulk.

Unit cell a=6.7955 b=6.7955 c=6.7955 alpha=145.71 beta=145.71 gamma=49.28
Fractional positions:
Li (0.2500, 0.7500, 0.5000)
Li (0.7500, 0.2500, 0.5000)
Ag (0.1091, 0.1091, 0.0000)
Ag (0.8909, 0.8909, 0.0000)
Pb (0.5000, 0.5000, 0.0000)

- ΔE_f: 0.03 eV per atom
- Energy above the most stable polymorph in this dataset: 191 meV per atom

=====

Record 2
First-principles (GGA-PBEsol) data for an optimized crystal structure of CdFeSb2Mo, as listed in Alexandria via LeMat-Bulk.

Unit cell a=5.2701 b=5.2701 c=4.7154 alpha=90.00 beta=90.00 gamma=90.00
Fractional positions:
Cd (0.0000, 0.0000, 0.0000)
Fe (0.0000, 0.0000, 0.5000)
Sb (0.0000, 0.5000, 0.0000)
Sb (0.5000, 0.0000, 0.0000)
Mo (0.5000, 0.5000, 0.5000)

- Formation energy without anion corrections: 1797 meV per atom

=====

Record 3
First-principles (GGA-PBEsol) data for an optimized crystal structure of CaNi3, as listed in Alexandria via LeMat-Bulk.

Unit cell a=2.6853 b=4.0980 c=5.0279 alpha=90.00 beta=90.00 gamma=90.00
Fractional positions:
Ca (0.0000, 0.0000, 0.0000)
Ni (0.0000, 0.5000, 0.3772)
Ni (0.5000, 0.0000, 0.4910)
Ni (0.5000, 0.5000, 0.7608)

- ΔE_f: 0.24 eV per atom